# YBeGaPt2 | Alexandria | PBE | relaxed
# ΔE_f ... -0.861 eV/atom
# Theoretical density ... 10.58 g cm⁻³
# Total energy ... -5.921 eV/atom
data_YBeGaPt2
_chemical_formula_sum 'Y2 Be2 Ga2 Pt4'
_symmetry_space_group_name_H-M 'I -4 m 2'
_symmetry_Int_Tables_number 119
_symmetry_space_group_name_Hall 'I -4 -2'
_cell_length_a 3.848
_cell_length_b 3.848
_cell_length_c 11.829
_cell_angle_alpha 90.00
_cell_angle_beta 90.00
_cell_angle_gamma 90.00
loop_
_atom_site_label
_atom_site_fract_x
_atom_site_fract_y
_atom_site_fract_z
_atom_site_occupancy
Y1 0.000 0.000 0.000 1
Be1 0.000 0.500 0.250 1
Ga1 0.000 0.500 0.750 1
Pt1 0.000 0.000 0.383 1